[1]
Entry from Alexandria via LeMat-Bulk: crystalline CaBe2Si at its relaxed geometry (GGA-PBEsol).

Unit cell a=8.0620 b=8.0620 c=8.0620 alpha=148.75 beta=148.75 gamma=44.78
Last column: nearest neighbours and their distance in Å.
Atoms (fractional coordinates):
Ca  0.3750  0.6250  0.7500  8 Be 3.06, 4 Si 3.07
Ca  0.6250  0.3750  0.2500  8 Be 3.06, 4 Si 3.07
Be  0.0000  0.0000  0.0000  2 Si 2.16, 2 Be 2.17
Be  0.0000  0.0000  0.5000  2 Si 2.16, 2 Be 2.17
Be  0.0000  0.5000  0.0000  2 Si 2.16, 2 Be 2.17
Be  0.5000  0.0000  0.5000  2 Si 2.16, 2 Be 2.17
Si  0.1250  0.8750  0.2500  4 Be 2.16
Si  0.8750  0.1250  0.7500  4 Be 2.16

Output
Uncorrected formation energy ... 0.05 eV/atom

[2]
Entry from Alexandria via LeMat-Bulk: crystalline MnAs2RuBr at its relaxed geometry (GGA-PBEsol).

Unit cell a=4.6411 b=4.6411 c=5.2730 alpha=90.00 beta=90.00 gamma=90.00
Last column: nearest neighbours and their distance in Å.
Atoms (fractional coordinates):
Mn  0.0000  0.0000  0.0000  4 Br 3.28, 8 As 3.51
As  0.0000  0.5000  0.5000  2 Ru 2.32
As  0.5000  0.0000  0.5000  2 Ru 2.32
Ru  0.5000  0.5000  0.5000  4 As 2.32
Br  0.5000  0.5000  0.0000  2 Ru 2.64

Output
Uncorrected formation energy ... 0.70 eV/atom
Distance to the lowest polymorph of the same formula ... 0.0 kJ/mol of formula units

[3]
Entry from Alexandria via LeMat-Bulk: crystalline Rb2NaCrF6 at its relaxed geometry (GGA-PBEsol).

Unit cell a=5.9243 b=5.9243 c=5.9243 alpha=60.00 beta=60.00 gamma=60.00
Last column: nearest neighbours and their distance in Å.
Atoms (fractional coordinates):
Rb  0.2500  0.2500  0.2500  12 F 2.97
Rb  0.7500  0.7500  0.7500  12 F 2.97
Na  0.0000  0.0000  0.0000  6 F 2.27
Cr  0.5000  0.5000  0.5000  6 F 1.92
F  0.2714  0.2714  0.7286  1 Cr 1.92
F  0.2714  0.7286  0.2714  1 Cr 1.92
F  0.2714  0.7286  0.7286  1 Cr 1.92
F  0.7286  0.2714  0.2714  1 Cr 1.92
F  0.7286  0.2714  0.7286  1 Cr 1.92
F  0.7286  0.7286  0.2714  1 Cr 1.92

Output
Uncorrected formation energy ... -2.83 eV/atom

[4]
Entry from Alexandria via LeMat-Bulk: crystalline ZrAlNi at its relaxed geometry (GGA-PBEsol).

Unit cell a=4.9535 b=4.9535 c=5.1997 alpha=90.00 beta=90.00 gamma=132.88
Last column: nearest neighbours and their distance in Å.
Atoms (fractional coordinates):
Zr  0.2024  0.7976  0.7500  5 Ni 2.69-2.77, 6 Al 3.00
Zr  0.7976  0.2024  0.2500  5 Ni 2.69-2.77, 6 Al 3.00
Al  0.5000  0.5000  0.0000  4 Ni 2.53, 2 Al 2.60
Al  0.5000  0.5000  0.5000  4 Ni 2.53, 2 Al 2.60
Ni  0.0966  0.9034  0.2500  4 Al 2.53, 5 Zr 2.69-2.77
Ni  0.9034  0.0966  0.7500  4 Al 2.53, 5 Zr 2.69-2.77

Output
ΔH_f (0 K) ... -0.598 eV per atom

[5]
Entry from Alexandria via LeMat-Bulk: crystalline MgTi2 at its relaxed geometry (GGA-PBEsol).

Unit cell a=7.6606 b=7.6606 c=4.9054 alpha=90.00 beta=90.00 gamma=158.15
Last column: nearest neighbours and their distance in Å.
Atoms (fractional coordinates):
Mg  0.1079  0.8921  0.7500  2 Mg 2.90, 10 Ti 2.92-3.00
Mg  0.8921  0.1079  0.2500  2 Mg 2.90, 10 Ti 2.92-3.00
Ti  0.2230  0.7770  0.2500  8 Ti 2.78-2.96, 4 Mg 2.93-3.00
Ti  0.4347  0.5653  0.7500  4 Ti 2.78-2.90, 6 Mg 2.92-2.98
Ti  0.5653  0.4347  0.2500  4 Ti 2.78-2.90, 6 Mg 2.92-2.98
Ti  0.7770  0.2230  0.7500  8 Ti 2.78-2.96, 4 Mg 2.93-3.00

Output
ΔH_f (0 K) ... 0.197 eV per atom

[6]
Entry from Alexandria via LeMat-Bulk: crystalline ZrZn2 at its relaxed geometry (GGA-PBEsol).

Unit cell a=7.7810 b=7.7810 c=7.7810 alpha=151.96 beta=151.96 gamma=40.08
Last column: nearest neighbours and their distance in Å.
Atoms (fractional coordinates):
Zr  0.3750  0.6250  0.7500  12 Zn 2.91-3.12
Zr  0.6250  0.3750  0.2500  12 Zn 2.91-3.12
Zn  0.0453  0.7953  0.2500  3 Zn 2.30-2.33
Zn  0.2047  0.9547  0.2500  3 Zn 2.30-2.33
Zn  0.7953  0.0453  0.7500  3 Zn 2.30-2.33
Zn  0.9547  0.2047  0.7500  3 Zn 2.30-2.33

Output
ΔH_f (0 K) ... -0.137 eV per atom